Entry 1:
Crystalline SrCd3Au3 at its relaxed geometry, computed with PBE-GGA.

Results
The value obtained for the density of states at the Fermi level is 0.524 states/eV per atom. For the total energy, the calculation gives -14.6 eV per formula unit. The calculation puts the total magnetization at 0.000 μB/atom. For the energy relative to the lowest polymorph listed for this composition, the calculation gives 314 meV per atom. The calculation puts the calculated formation energy at -0.055 eV per atom.

Geometry as POSCAR:
```
SrCd3Au3
1.0
7.6208 0.0000 0.0000
0.0000 7.6208 0.0000
0.0000 0.0000 7.6208
Sr Cd Au
2 6 6
direct
0.0000 0.0000 0.0000 Sr
0.5000 0.5000 0.5000 Sr
0.0000 0.2500 0.5000 Cd
0.0000 0.7500 0.5000 Cd
0.2500 0.5000 0.0000 Cd
0.5000 0.0000 0.2500 Cd
0.5000 0.0000 0.7500 Cd
0.7500 0.5000 0.0000 Cd
0.0000 0.5000 0.2500 Au
0.0000 0.5000 0.7500 Au
0.2500 0.0000 0.5000 Au
0.5000 0.2500 0.0000 Au
0.5000 0.7500 0.0000 Au
0.7500 0.0000 0.5000 Au
```

Entry 2:
Crystalline Ta2MnPt at its relaxed geometry, computed with PBE-GGA.

Results
The value obtained for the density of states at the Fermi level is 0.790 states/eV per atom. For the total energy, the calculation gives -37.6 eV per formula unit. The calculation puts the total magnetization at 0.752 μB/atom. The calculation puts the calculated formation energy at 0.334 eV per atom.

Geometry as POSCAR:
```
Ta2MnPt
1.0
-1.9224 1.9224 9.5858
1.9224 -1.9224 9.5858
1.9224 1.9224 -9.5858
Ta Mn Pt
4 2 2
direct
0.1216 0.6250 0.9966 Ta
0.3750 0.3716 0.4966 Ta
0.6284 0.1250 0.0034 Ta
0.8750 0.8784 0.5034 Ta
0.0000 0.0000 0.0000 Mn
0.7500 0.2500 0.5000 Mn
0.2500 0.7500 0.5000 Pt
0.5000 0.5000 0.0000 Pt
```

Entry 3:
Crystalline Sr2Zn2Ag at its relaxed geometry, computed with PBE-GGA.

Results
The value obtained for the density of states at the Fermi level is 0.657 states/eV per atom. For the total energy, the calculation gives -9.6 eV per formula unit. The calculation puts the total magnetization at 0.000 μB/atom. For the energy relative to the lowest polymorph listed for this composition, the calculation gives 82 meV per atom. The calculation puts the calculated formation energy at -0.164 eV per atom.

Geometry as POSCAR:
```
Sr2Zn2Ag
1.0
7.7138 0.0000 0.0000
0.0000 7.7138 0.0000
0.0000 0.0000 4.6991
Sr Zn Ag
4 4 2
direct
0.1835 0.3165 0.0000 Sr
0.3165 0.8165 0.0000 Sr
0.6835 0.1835 0.0000 Sr
0.8165 0.6835 0.0000 Sr
0.1178 0.6178 0.5000 Zn
0.3822 0.1178 0.5000 Zn
0.6178 0.8822 0.5000 Zn
0.8822 0.3822 0.5000 Zn
0.0000 0.0000 0.5000 Ag
0.5000 0.5000 0.5000 Ag
```

Entry 4:
Crystalline Pa2AgRh at its relaxed geometry, computed with PBE-GGA.

Results
The value obtained for the density of states at the Fermi level is 2.012 states/eV per atom. For the total energy, the calculation gives -28.7 eV per formula unit. The calculation puts the total magnetization at 0.000 μB/atom. The calculation puts the calculated formation energy at 0.134 eV per atom.

Geometry as POSCAR:
```
Pa2AgRh
1.0
1.5384 0.8882 10.8075
-1.5384 0.8882 10.8075
0.0000 -1.7763 10.8075
Pa Ag Rh
2 1 1
direct
0.0945 0.0945 0.0945 Pa
0.9055 0.9055 0.9055 Pa
0.0000 0.0000 0.0000 Ag
0.5000 0.5000 0.5000 Rh
```

Entry 5:
Crystalline LiPa2GaN4 at its relaxed geometry, computed with PBE-GGA.

Results
For the formation energy (no corrections), the calculation gives -1.013 eV per atom. For the total energy, the calculation gives -65.3 eV per formula unit. The calculation puts the total magnetization at 0.000 μB/atom.

Geometry as POSCAR:
```
LiPa2GaN4
1.0
6.0912 0.0000 0.0000
0.0000 3.5899 0.0000
-2.2731 0.0000 5.8003
Li Pa Ga N
1 2 1 4
direct
0.0000 0.0000 0.0000 Li
0.5000 0.0000 0.5000 Pa
0.5000 0.5000 0.0000 Pa
0.0000 0.5000 0.5000 Ga
0.3163 0.5000 0.2664 N
0.3278 0.0000 0.7730 N
0.6722 0.0000 0.2270 N
0.6837 0.5000 0.7336 N
```

Entry 6:
Crystalline PaSe6Cl12 at its relaxed geometry, computed with PBE-GGA.

Results
The value obtained for the density of states at the Fermi level is 0.423 states/eV per atom. For the formation energy (no corrections), the calculation gives -0.621 eV per atom. For the total energy, the calculation gives -64.4 eV per formula unit. The calculation puts the total magnetization at 0.000 μB/atom.

Geometry as POSCAR:
```
PaSe6Cl12
1.0
5.4350 3.1379 7.2129
-5.4350 3.1379 7.2129
0.0000 -6.2758 7.2129
Pa Se Cl
1 6 12
direct
0.0000 0.0000 0.0000 Pa
0.2154 0.2941 0.4754 Se
0.2941 0.4754 0.2154 Se
0.4754 0.2154 0.2941 Se
0.5246 0.7846 0.7059 Se
0.7059 0.5246 0.7846 Se
0.7846 0.7059 0.5246 Se
0.0307 0.6746 0.5258 Cl
0.0922 0.2481 0.8631 Cl
0.1369 0.9078 0.7519 Cl
0.2481 0.8631 0.0922 Cl
0.3254 0.4742 0.9693 Cl
0.4742 0.9693 0.3254 Cl
0.5258 0.0307 0.6746 Cl
0.6746 0.5258 0.0307 Cl
0.7519 0.1369 0.9078 Cl
0.8631 0.0922 0.2481 Cl
0.9078 0.7519 0.1369 Cl
0.9693 0.3254 0.4742 Cl
```

Entry 7:
Crystalline BaPmBiO4 at its relaxed geometry, computed with PBE-GGA.

Results
The value obtained for the density of states at the Fermi level is 0.000 states/eV per atom. For the formation energy (no corrections), the calculation gives -2.385 eV per atom. For the total energy, the calculation gives -47.1 eV per formula unit. The calculation puts the total magnetization at 0.000 μB/atom.

Geometry as POSCAR:
```
BaPmBiO4
1.0
-3.6542 3.6629 5.1747
3.6542 -3.6629 5.1747
3.6542 3.6629 -5.1747
Ba Pm Bi O
2 2 2 8
direct
0.3728 0.1228 0.2500 Ba
0.6272 0.8772 0.7500 Ba
0.0000 0.5000 0.5000 Pm
0.5000 0.5000 0.0000 Pm
0.0000 0.0000 0.5000 Bi
0.0000 0.5000 0.0000 Bi
0.1987 0.7301 0.4687 O
0.2333 0.2733 0.5400 O
0.2333 0.6933 0.9600 O
0.2386 0.2699 0.9687 O
0.7614 0.7301 0.0313 O
0.7667 0.3067 0.0400 O
0.7667 0.7267 0.4600 O
0.8013 0.2699 0.5313 O
```

Entry 8:
Crystalline Ba5Sr2Nd8Cu5O25 at its relaxed geometry, computed with PBE-GGA.

Results
The value obtained for the density of states at the Fermi level is 0.383 states/eV per atom. For the formation energy (no corrections), the calculation gives -2.479 eV per atom. For the total energy, the calculation gives -307.1 eV per formula unit. The calculation puts the total magnetization at 0.068 μB/atom.

Geometry as POSCAR:
```
Ba5Sr2Nd8Cu5O25
1.0
6.7946 0.0000 0.0000
0.0000 33.9657 0.0000
0.0000 0.0000 5.8449
Ba Sr Nd Cu O
10 4 16 10 50
direct
0.0000 0.0000 0.0000 Ba
0.0001 0.3997 0.0000 Ba
0.9999 0.6003 0.0000 Ba
0.0097 0.1986 0.0000 Ba
0.4903 0.6986 0.0000 Ba
0.5001 0.1003 0.0000 Ba
0.5000 0.5000 0.0000 Ba
0.4999 0.8997 0.0000 Ba
0.5097 0.3014 0.0000 Ba
0.9903 0.8014 0.0000 Ba
0.1774 0.1344 0.5000 Sr
0.3226 0.6344 0.5000 Sr
0.6774 0.3656 0.5000 Sr
0.8226 0.8656 0.5000 Sr
0.1676 0.7345 0.5000 Nd
0.1697 0.9346 0.5000 Nd
0.1731 0.5351 0.5000 Nd
0.1807 0.3354 0.5000 Nd
0.3193 0.8354 0.5000 Nd
0.3269 0.0351 0.5000 Nd
0.3303 0.4346 0.5000 Nd
0.3324 0.2345 0.5000 Nd
0.6676 0.7655 0.5000 Nd
0.6697 0.5654 0.5000 Nd
0.6731 0.9649 0.5000 Nd
0.6807 0.1646 0.5000 Nd
0.8193 0.6646 0.5000 Nd
0.8269 0.4649 0.5000 Nd
0.8303 0.0654 0.5000 Nd
0.8324 0.2655 0.5000 Nd
0.0000 0.5000 0.0000 Cu
0.0023 0.9011 0.0000 Cu
0.0109 0.2987 0.0000 Cu
0.4891 0.7987 0.0000 Cu
0.4977 0.4011 0.0000 Cu
0.5000 0.0000 0.0000 Cu
0.5023 0.5989 0.0000 Cu
0.5109 0.2013 0.0000 Cu
0.9891 0.7013 0.0000 Cu
0.9977 0.0989 0.0000 Cu
0.0000 0.0000 0.5000 O
0.0026 0.7980 0.5000 O
0.0102 0.4014 0.5000 O
0.1228 0.6746 0.2369 O
0.1228 0.6746 0.7631 O
0.1330 0.0706 0.2364 O
0.1330 0.0706 0.7636 O
0.1378 0.4731 0.2421 O
0.1378 0.4731 0.7579 O
0.1436 0.8735 0.2353 O
0.1436 0.8735 0.7647 O
0.1448 0.2718 0.2378 O
0.1448 0.2718 0.7622 O
0.3552 0.7718 0.2378 O
0.3552 0.7718 0.7622 O
0.3564 0.3735 0.2353 O
0.3564 0.3735 0.7647 O
0.3622 0.9731 0.2421 O
0.3622 0.9731 0.7579 O
0.3670 0.5706 0.2364 O
0.3670 0.5706 0.7636 O
0.3772 0.1746 0.2369 O
0.3772 0.1746 0.7631 O
0.4898 0.9014 0.5000 O
0.4974 0.2980 0.5000 O
0.5000 0.5000 0.5000 O
0.5026 0.7020 0.5000 O
0.5102 0.0986 0.5000 O
0.6228 0.8254 0.2369 O
0.6228 0.8254 0.7631 O
0.6330 0.4294 0.2364 O
0.6330 0.4294 0.7636 O
0.6378 0.0269 0.2421 O
0.6378 0.0269 0.7579 O
0.6436 0.6265 0.2353 O
0.6436 0.6265 0.7647 O
0.6448 0.2282 0.2378 O
0.6448 0.2282 0.7622 O
0.8552 0.7282 0.2378 O
0.8552 0.7282 0.7622 O
0.8564 0.1265 0.2353 O
0.8564 0.1265 0.7647 O
0.8622 0.5269 0.2421 O
0.8622 0.5269 0.7579 O
0.8670 0.9294 0.2364 O
0.8670 0.9294 0.7636 O
0.8772 0.3254 0.2369 O
0.8772 0.3254 0.7631 O
0.9898 0.5986 0.5000 O
0.9974 0.2020 0.5000 O
```

Entry 9:
Crystalline Sc2PBr at its relaxed geometry, computed with PBE-GGA.

Results
The value obtained for the density of states at the Fermi level is 0.763 states/eV per atom. For the formation energy (no corrections), the calculation gives -1.126 eV per atom. For the total energy, the calculation gives -24.3 eV per formula unit. The calculation puts the total magnetization at 0.233 μB/atom.

Geometry as POSCAR:
```
Sc2PBr
1.0
-1.7898 1.7980 6.5336
1.7898 -1.7980 6.5336
1.7898 1.7980 -6.5336
Sc P Br
2 1 1
direct
0.0000 0.0000 0.0000 Sc
0.7935 0.2935 0.5000 Sc
0.3570 0.8570 0.5000 P
0.6096 0.6096 0.0000 Br
```

Entry 10:
Crystalline LaTbErPu at its relaxed geometry, computed with PBE-GGA.

Results
The value obtained for the density of states at the Fermi level is 3.123 states/eV per atom. For the total energy, the calculation gives -27.6 eV per formula unit. The calculation puts the total magnetization at 1.887 μB/atom. The calculation puts the calculated formation energy at 0.202 eV per atom.

Geometry as POSCAR:
```
LaTbErPu
1.0
0.0000 3.9923 3.9923
3.9923 0.0000 3.9923
3.9923 3.9923 0.0000
La Tb Er Pu
1 1 1 1
direct
0.0000 0.0000 0.0000 La
0.5000 0.5000 0.5000 Tb
0.2500 0.2500 0.2500 Er
0.7500 0.7500 0.7500 Pu
```

Entry 11:
Crystalline Ca3YBi2As at its relaxed geometry, computed with PBE-GGA.

Results
The value obtained for the density of states at the Fermi level is 0.042 states/eV per atom. For the total energy, the calculation gives -31.2 eV per formula unit. The calculation puts the total magnetization at 0.000 μB/atom. The calculation puts the calculated formation energy at -0.903 eV per atom.

Geometry as POSCAR:
```
Ca3YBi2As
1.0
-2.6633 2.7042 8.3000
2.6633 -2.7042 8.3000
2.6633 2.7042 -8.3000
Ca Y Bi As
3 1 2 1
direct
0.0000 0.0000 0.0000 Ca
0.1754 0.6754 0.5000 Ca
0.8246 0.3246 0.5000 Ca
0.5000 0.5000 0.0000 Y
0.3673 0.8673 0.5000 Bi
0.6327 0.1327 0.5000 Bi
0.0000 0.5000 0.5000 As
```

Entry 12:
Crystalline AcNd2DySb4 at its relaxed geometry, computed with PBE-GGA.

Results
The value obtained for the density of states at the Fermi level is 0.110 states/eV per atom. For the formation energy (no corrections), the calculation gives -1.151 eV per atom. For the total energy, the calculation gives -43.9 eV per formula unit. The calculation puts the total magnetization at 0.000 μB/atom.

Geometry as POSCAR:
```
AcNd2DySb4
1.0
7.9004 0.0000 0.0000
0.0000 4.5675 0.0000
-2.6279 0.0000 7.4589
Ac Nd Dy Sb
1 2 1 4
direct
0.0000 0.0000 0.0000 Ac
0.0000 0.5000 0.5000 Nd
0.5000 0.0000 0.5000 Nd
0.5000 0.5000 0.0000 Dy
0.2607 0.0000 0.7512 Sb
0.2629 0.5000 0.2566 Sb
0.7371 0.5000 0.7434 Sb
0.7393 0.0000 0.2488 Sb
```